[1]
A relaxed structure of LaFeP2. Source: the Alexandria database, functional PBEsol.

Energy relative to the elements in eV per atom: -0.733
Offset from the most stable computed form in eV/f.u.: 0.352

Unit cell a=4.1950 b=4.1431 c=4.3546 alpha=90.00 beta=90.26 gamma=90.00
With the nearest neighbours (Å) after each atom.
Positions (direct):
1 La 0.0000 0.0000 0.0000  8 P 2.92-3.15, 2 Fe 3.21
2 Fe 0.6600 0.5000 0.4556  4 P 2.07-2.21
3 P 0.1531 0.5000 0.4912  2 Fe 2.07-2.13
4 P 0.4919 0.0000 0.5291  2 Fe 2.21

---

[2]
A relaxed structure of K2CaZn. Source: the Alexandria database, functional PBEsol.

Energy relative to the elements in eV per atom: 0.081

Unit cell a=4.2955 b=4.1664 c=10.3400 alpha=90.00 beta=101.82 gamma=90.00
With the nearest neighbours (Å) after each atom.
Positions (direct):
1 K 0.0000 0.0000 0.0000  2 Zn 3.49
2 K 0.3140 0.5000 0.6316  1 Zn 3.59
3 Ca 0.6698 0.0000 0.3390  4 Zn 3.06
4 Zn 0.1387 0.5000 0.2765  4 Ca 3.06

---

[3]
A relaxed structure of CaZrSeN2. Source: the Alexandria database, functional PBEsol.

Formation energy from raw total energies in eV per atom: 0.81

Unit cell a=4.0881 b=4.0881 c=5.1768 alpha=90.00 beta=90.00 gamma=90.00
With the nearest neighbours (Å) after each atom.
Positions (direct):
1 Ca 0.0000 0.0000 0.0000  4 N 2.04
2 Zr 0.5000 0.5000 0.5000  4 Se 2.89
3 Se 0.0000 0.0000 0.5000  2 Ca 2.59, 4 Zr 2.89
4 N 0.0000 0.5000 0.0000  2 Ca 2.04
5 N 0.5000 0.0000 0.0000  2 Ca 2.04

---

[4]
A relaxed structure of Cr2CuPt. Source: the Alexandria database, functional PBEsol.

Energy relative to the elements in eV per atom: 0.066

Unit cell a=2.9473 b=2.9473 c=5.7512 alpha=90.00 beta=90.00 gamma=90.00
With the nearest neighbours (Å) after each atom.
Positions (direct):
1 Cr 0.0000 0.0000 0.0000  4 Cr 2.40, 1 Cu 2.59, 4 Pt 2.65
2 Cr 0.5000 0.5000 0.2071  4 Cr 2.40, 4 Cu 2.51
3 Cu 0.0000 0.0000 0.4500  5 Cr 2.51-2.59, 4 Pt 2.58
4 Pt 0.5000 0.5000 0.7141  4 Cu 2.58, 5 Cr 2.65-2.84

---

[5]
A relaxed structure of AgP2Se. Source: the Alexandria database, functional PBEsol.

Formation energy from raw total energies in eV per atom: 0.16

Unit cell a=8.6685 b=8.6685 c=8.6685 alpha=21.23 beta=21.23 gamma=21.23
With the nearest neighbours (Å) after each atom.
Positions (direct):
1 Ag 0.0000 0.0000 0.0000  3 Se 2.72, 3 P 2.77
2 P 0.2521 0.2521 0.2521  3 P 2.25
3 P 0.5348 0.5348 0.5348  3 P 2.25
4 Se 0.7456 0.7456 0.7456  3 Ag 2.72

---

[6]
A relaxed structure of CoSi2Au. Source: the Alexandria database, functional PBEsol.

Formation energy from raw total energies in eV per atom: -0.11

Unit cell a=4.0881 b=4.0881 c=4.7942 alpha=99.17 beta=99.17 gamma=42.78
With the nearest neighbours (Å) after each atom.
Positions (direct):
1 Co 0.0000 0.0000 0.0000  6 Si 2.38-2.41
2 Si 0.2632 0.2632 0.7960  3 Co 2.38-2.41, 1 Au 2.48, 2 Si 2.49
3 Si 0.7368 0.7368 0.2040  3 Co 2.38-2.41, 1 Au 2.48, 2 Si 2.49
4 Au 0.5000 0.5000 0.5000  6 Si 2.48-2.70

---

[7]
A relaxed structure of NaMgZr3. Source: the Alexandria database, functional PBEsol.

Energy relative to the elements in eV per atom: 1.373
Offset from the most stable computed form in eV/f.u.: 0.427

Unit cell a=4.9904 b=4.9904 c=4.9904 alpha=90.00 beta=90.00 gamma=90.00
With the nearest neighbours (Å) after each atom.
Positions (direct):
1 Na 0.0000 0.0000 0.0000  6 Zr 2.50
2 Mg 0.5000 0.5000 0.5000  12 Zr 3.53
3 Zr 0.0000 0.0000 0.5000  2 Na 2.50
4 Zr 0.0000 0.5000 0.0000  2 Na 2.50
5 Zr 0.5000 0.0000 0.0000  2 Na 2.50

---

[8]
A relaxed structure of CaYFe3. Source: the Alexandria database, functional PBEsol.

Energy relative to the elements in eV per atom: 1.460

Unit cell a=4.5758 b=4.5758 c=4.5758 alpha=90.00 beta=90.00 gamma=90.00
With the nearest neighbours (Å) after each atom.
Positions (direct):
1 Ca 0.0000 0.0000 0.0000  6 Fe 2.29
2 Y 0.5000 0.5000 0.5000  12 Fe 3.24
3 Fe 0.0000 0.0000 0.5000  2 Ca 2.29
4 Fe 0.0000 0.5000 0.0000  2 Ca 2.29
5 Fe 0.5000 0.0000 0.0000  2 Ca 2.29

---

[9]
A relaxed structure of SrLiAlF6. Source: the Alexandria database, functional PBEsol.

Formation energy from raw total energies in eV per atom: -3.61

Unit cell a=5.0733 b=5.0733 c=10.2216 alpha=90.00 beta=90.00 gamma=120.00
With the nearest neighbours (Å) after each atom.
Positions (direct):
1 Sr 0.0000 0.0000 0.0000  6 F 2.42
2 Sr 0.0000 0.0000 0.5000  6 F 2.42
3 Li 0.3333 0.6667 0.2500  6 F 2.01
4 Li 0.6667 0.3333 0.7500  6 F 2.01
5 Al 0.3333 0.6667 0.7500  6 F 1.82
6 Al 0.6667 0.3333 0.2500  6 F 1.82
7 F 0.0286 0.3853 0.6481  1 Al 1.82, 1 Li 2.01
8 F 0.0286 0.6433 0.8519  1 Al 1.82, 1 Li 2.01
9 F 0.3567 0.3853 0.8519  1 Al 1.82, 1 Li 2.01
10 F 0.3567 0.9714 0.6481  1 Al 1.82, 1 Li 2.01
11 F 0.3853 0.0286 0.1481  1 Al 1.82, 1 Li 2.01
12 F 0.3853 0.3567 0.3519  1 Al 1.82, 1 Li 2.01
13 F 0.6147 0.6433 0.6481  1 Al 1.82, 1 Li 2.01
14 F 0.6147 0.9714 0.8519  1 Al 1.82, 1 Li 2.01
15 F 0.6433 0.0286 0.3519  1 Al 1.82, 1 Li 2.01
16 F 0.6433 0.6147 0.1481  1 Al 1.82, 1 Li 2.01
17 F 0.9714 0.3567 0.1481  1 Al 1.82, 1 Li 2.01
18 F 0.9714 0.6147 0.3519  1 Al 1.82, 1 Li 2.01

---

[10]
A relaxed structure of Na2MgTlPd. Source: the Alexandria database, functional PBEsol.

Energy relative to the elements in eV per atom: 0.107

Unit cell a=5.3290 b=5.3290 c=4.9948 alpha=90.00 beta=90.00 gamma=90.00
With the nearest neighbours (Å) after each atom.
Positions (direct):
1 Na 0.0000 0.5000 0.0000  2 Pd 2.66
2 Na 0.5000 0.0000 0.0000  2 Pd 2.66
3 Mg 0.0000 0.0000 0.5000  2 Pd 2.50
4 Tl 0.5000 0.5000 0.5000  8 Na 3.65, 4 Mg 3.77
5 Pd 0.0000 0.0000 0.0000  2 Mg 2.50, 4 Na 2.66

---

[11]
A relaxed structure of Dy2In3Sn3. Source: the Alexandria database, functional PBEsol.

Energy relative to the elements in eV per atom: -0.493

Unit cell a=4.5598 b=4.6959 c=9.0124 alpha=90.00 beta=90.00 gamma=90.00
With the nearest neighbours (Å) after each atom.
Positions (direct):
1 Dy 0.0000 0.0000 0.2469  6 Sn 3.19-3.23, 6 In 3.27
2 Dy 0.0000 0.0000 0.7531  6 Sn 3.19-3.23, 6 In 3.27
3 In 0.0000 0.5000 0.5000  4 In 3.19, 4 Sn 3.27, 4 Dy 3.27
4 In 0.5000 0.5000 0.2527  2 In 3.19, 6 Sn 3.22-3.27, 4 Dy 3.27
5 In 0.5000 0.5000 0.7473  2 In 3.19, 6 Sn 3.22-3.27, 4 Dy 3.27
6 Sn 0.0000 0.5000 0.0000  4 In 3.22, 4 Dy 3.23, 4 Sn 3.27
7 Sn 0.5000 0.0000 0.0000  4 Dy 3.19, 4 In 3.27, 4 Sn 3.27
8 Sn 0.5000 0.0000 0.5000  4 Dy 3.23, 8 In 3.24-3.27

---

[12]
A relaxed structure of Li2NiO2F. Source: the Alexandria database, functional PBEsol.

Offset from the most stable computed form in eV/f.u.: 0.495
Formation energy from raw total energies in eV per atom: -1.77

Unit cell a=4.9546 b=4.9546 c=9.4323 alpha=94.60 beta=94.60 gamma=119.97
With the nearest neighbours (Å) after each atom.
Positions (direct):
1 Li 0.0000 0.0000 0.0000  2 O 1.95, 4 F 2.07-2.09
2 Li 0.0719 0.4373 0.2445  3 O 1.94-2.13, 2 F 1.99-2.01
3 Li 0.2377 0.2416 0.7586  4 O 1.96-2.16, 2 F 1.99-2.00
4 Li 0.3954 0.0837 0.2456  4 O 1.95-2.15, 2 F 2.02-2.09
5 Li 0.5627 0.9281 0.7555  3 O 1.94-2.13, 2 F 1.99-2.01
6 Li 0.6552 0.3448 0.0000  4 F 2.03, 2 O 2.06
7 Li 0.7584 0.7623 0.2414  4 O 1.96-2.16, 2 F 1.99-2.00
8 Li 0.9163 0.6046 0.7544  4 O 1.95-2.15, 2 F 2.02-2.09
9 Ni 0.1575 0.8425 0.5000  6 O 2.00-2.01
10 Ni 0.3073 0.6927 0.0000  2 O 1.85, 4 F 2.03-2.07
11 Ni 0.4912 0.5088 0.5000  6 O 1.91
12 Ni 0.8249 0.1751 0.5000  6 O 1.90-1.92
13 O 0.0461 0.7211 0.1218  1 Ni 1.85, 5 Li 1.94-2.06
14 O 0.1255 0.1559 0.3900  3 Ni 1.91-2.00, 2 Li 2.11-2.12
15 O 0.1892 0.5257 0.6075  3 Ni 1.90-2.00
16 O 0.2789 0.9539 0.8782  1 Ni 1.85, 5 Li 1.94-2.06
17 O 0.4743 0.8108 0.3925  3 Ni 1.90-2.00
18 O 0.5382 0.2247 0.6099  3 Ni 1.91-2.01, 1 Li 2.13
19 O 0.7753 0.4618 0.3901  3 Ni 1.91-2.01, 1 Li 2.13
20 O 0.8441 0.8745 0.6100  3 Ni 1.91-2.00, 2 Li 2.11-2.12
21 F 0.3686 0.4053 0.1241  5 Li 1.99-2.09, 1 Ni 2.03
22 F 0.5947 0.6314 0.8759  5 Li 1.99-2.09, 1 Ni 2.03
23 F 0.7037 0.0552 0.1269  5 Li 1.99-2.07, 1 Ni 2.07
24 F 0.9448 0.2963 0.8731  5 Li 1.99-2.07, 1 Ni 2.07

---

[13]
A relaxed structure of KAs2IBr. Source: the Alexandria database, functional PBEsol.

Formation energy from raw total energies in eV per atom: 0.35

Unit cell a=5.2756 b=5.2756 c=7.1227 alpha=90.00 beta=90.00 gamma=90.00
With the nearest neighbours (Å) after each atom.
Positions (direct):
1 K 0.0000 0.0000 0.0000  4 Br 3.73
2 As 0.0000 0.5000 0.5000  2 I 2.64
3 As 0.5000 0.0000 0.5000  2 I 2.64
4 I 0.5000 0.5000 0.5000  4 As 2.64
5 Br 0.5000 0.5000 0.0000  2 I 3.56, 4 K 3.73

---

[14]
A relaxed structure of Ba2TlRh. Source: the Alexandria database, functional PBEsol.

Energy relative to the elements in eV per atom: -0.202
Offset from the most stable computed form in eV/f.u.: 0.000

Unit cell a=4.6785 b=6.4965 c=6.4965 alpha=42.80 beta=90.00 gamma=90.00
With the nearest neighbours (Å) after each atom.
Positions (direct):
1 Ba 0.0000 0.0000 0.0000  3 Rh 3.36-3.67, 4 Tl 3.47
2 Ba 0.5000 0.2824 0.2824  3 Tl 3.40-3.61, 4 Rh 3.49
3 Tl 0.5000 0.5805 0.5805  2 Rh 2.73
4 Rh 0.0000 0.6963 0.6963  2 Tl 2.73

---

[15]
A relaxed structure of TlInPb. Source: the Alexandria database, functional PBEsol.

Energy relative to the elements in eV per atom: 0.019
Offset from the most stable computed form in eV/f.u.: 0.031

Unit cell a=5.3869 b=5.3869 c=3.3329 alpha=90.00 beta=90.00 gamma=120.00
With the nearest neighbours (Å) after each atom.
Positions (direct):
1 Tl 0.0000 0.0000 0.0000  3 In 3.28, 2 Tl 3.33, 3 Pb 3.40
2 In 0.3333 0.6667 0.6904  3 Pb 3.25, 3 Tl 3.28, 2 In 3.33
3 Pb 0.6667 0.3333 0.4099  3 In 3.25, 2 Pb 3.33, 3 Tl 3.40

---

[16]
A relaxed structure of TaAlRh2. Source: the Alexandria database, functional PBEsol.

Energy relative to the elements in eV per atom: -0.718

Unit cell a=2.8468 b=3.5407 c=5.7630 alpha=90.00 beta=90.00 gamma=90.00
With the nearest neighbours (Å) after each atom.
Positions (direct):
1 Ta 0.0000 0.0000 0.0000  8 Rh 2.72, 2 Ta 2.85, 2 Al 2.88
2 Al 0.0000 0.0000 0.5000  8 Rh 2.66, 2 Al 2.85, 2 Ta 2.88
3 Rh 0.5000 0.5000 0.2582  4 Al 2.66, 4 Ta 2.72, 4 Rh 2.79-2.98
4 Rh 0.5000 0.5000 0.7418  4 Al 2.66, 4 Ta 2.72, 4 Rh 2.79-2.98

---

[17]
A relaxed structure of AlAg5. Source: the Alexandria database, functional PBEsol.

Energy relative to the elements in eV per atom: -0.045
Offset from the most stable computed form in eV/f.u.: 0.157

Unit cell a=2.8679 b=3.9834 c=8.5616 alpha=90.00 beta=90.00 gamma=90.00
With the nearest neighbours (Å) after each atom.
Positions (direct):
1 Al 0.0000 0.0000 0.0000  10 Ag 2.82-2.83, 2 Al 2.87
2 Ag 0.0000 0.0000 0.3305  1 Al 2.83, 11 Ag 2.85-2.90
3 Ag 0.0000 0.0000 0.6695  1 Al 2.83, 11 Ag 2.85-2.90
4 Ag 0.5000 0.5000 0.1614  8 Ag 2.76-2.90, 4 Al 2.82
5 Ag 0.5000 0.5000 0.5000  12 Ag 2.85-2.90
6 Ag 0.5000 0.5000 0.8386  8 Ag 2.76-2.90, 4 Al 2.82

---

[18]
A relaxed structure of K2P3H7O9. Source: the Alexandria database, functional PBEsol.

Unit cell a=7.5561 b=8.5938 c=8.9696 alpha=79.19 beta=66.43 gamma=88.66
With the nearest neighbours (Å) after each atom.
Positions (direct):
1 K 0.0906 0.0807 0.1482  7 O 2.71-2.98
2 K 0.1809 0.6012 0.0931  7 O 2.72-2.94
3 K 0.8191 0.3988 0.9069  7 O 2.72-2.94
4 K 0.9094 0.9193 0.8518  7 O 2.71-2.98
5 P 0.0265 0.7170 0.5182  1 H 1.42, 3 O 1.52-1.58
6 P 0.3636 0.3626 0.7572  1 H 1.41, 3 O 1.50-1.57
7 P 0.4395 0.8956 0.7717  1 H 1.41, 3 O 1.50-1.58
8 P 0.5605 0.1044 0.2283  1 H 1.41, 3 O 1.50-1.58
9 P 0.6364 0.6374 0.2428  1 H 1.41, 3 O 1.50-1.57
10 P 0.9735 0.2830 0.4818  1 H 1.42, 3 O 1.52-1.58
11 H 0.1496 0.5885 0.5005  1 P 1.42
12 H 0.2004 0.2575 0.6332  1 O 1.07
13 H 0.2492 0.9166 0.4203  1 O 1.04
14 H 0.3468 0.2950 0.2550  1 O 1.05
15 H 0.4289 0.9146 0.6154  1 P 1.41
16 H 0.4443 0.5151 0.6665  1 P 1.41
17 H 0.4456 0.8332 0.2128  1 O 1.06
18 H 0.5544 0.1668 0.7872  1 O 1.06
19 H 0.5557 0.4849 0.3335  1 P 1.41
20 H 0.5711 0.0854 0.3846  1 P 1.41
21 H 0.6532 0.7050 0.7450  1 O 1.05
22 H 0.7508 0.0834 0.5797  1 O 1.04
23 H 0.7996 0.7425 0.3668  1 O 1.07
24 H 0.8504 0.4115 0.4995  1 P 1.42
25 O 0.0136 0.2419 0.6378  1 H 1.40, 1 P 1.52
26 O 0.1451 0.3287 0.3164  1 H 1.44, 1 P 1.52
27 O 0.1451 0.8582 0.5327  1 H 1.04
28 O 0.1800 0.3733 0.9049  1 P 1.50
29 O 0.2440 0.9111 0.9044  1 P 1.50
30 O 0.3413 0.2674 0.6326  1 H 1.07
31 O 0.3952 0.9871 0.2499  2 H 1.43-1.50, 1 P 1.55
32 O 0.4691 0.7137 0.1973  1 H 1.06
33 O 0.4953 0.2784 0.1945  1 H 1.05
34 O 0.5047 0.7216 0.8055  1 H 1.05
35 O 0.5309 0.2863 0.8027  1 H 1.06
36 O 0.6048 0.0129 0.7501  2 H 1.43-1.50, 1 P 1.55
37 O 0.6587 0.7326 0.3674  1 H 1.07
38 O 0.7560 0.0889 0.0956  1 P 1.50
39 O 0.8200 0.6267 0.0951  1 P 1.50
40 O 0.8549 0.1418 0.4673  1 H 1.04
41 O 0.8549 0.6713 0.6836  1 H 1.44, 1 P 1.52
42 O 0.9864 0.7581 0.3622  1 H 1.40, 1 P 1.52

---

[19]
A relaxed structure of La2MnPt. Source: the Alexandria database, functional PBEsol.

Energy relative to the elements in eV per atom: -0.091

Unit cell a=8.0133 b=8.0133 c=8.0133 alpha=28.84 beta=28.84 gamma=28.84
With the nearest neighbours (Å) after each atom.
Positions (direct):
1 La 0.2438 0.2438 0.2438  3 Pt 2.91, 3 Mn 3.09
2 La 0.7562 0.7562 0.7562  3 Pt 2.91, 3 Mn 3.09
3 Mn 0.0000 0.0000 0.0000  6 La 3.09
4 Pt 0.5000 0.5000 0.5000  6 La 2.91

---

[20]
A relaxed structure of Ba2SnAsP. Source: the Alexandria database, functional PBEsol.

Energy relative to the elements in eV per atom: -0.276

Unit cell a=6.2611 b=6.2611 c=4.5705 alpha=90.00 beta=90.00 gamma=90.00
With the nearest neighbours (Å) after each atom.
Positions (direct):
1 Ba 0.0000 0.5000 0.0000  2 As 3.13
2 Ba 0.5000 0.0000 0.0000  2 As 3.13
3 Sn 0.0000 0.0000 0.5000  8 Ba 3.88
4 As 0.5000 0.5000 0.0000  2 P 2.29
5 P 0.5000 0.5000 0.5000  2 As 2.29

---

Values for VASP energy, eV/atom, ordered as above
-7.2061, -1.4143, -5.6132, -7.8789, -4.5214, -5.8988, -4.7039, -5.7089, -5.7723, -2.5140, -4.4539, -5.5239, -2.6475, -3.9689, -3.1852, -8.9480, -3.4858, -5.8384, -6.9455, -4.1668